A geometry-optimized Sc6Bi2PbSe3 structure. Source: Alexandria via LeMat-Bulk, functional PBE-GGA.

## Properties
Size of the total moment, μB/cell: 0.00
DOS at the Fermi energy, states/eV per cell: 6.278
SG: C2/m
Formation energy (no corrections), meV per atom: -1054

abc: 4.0110 8.2257 9.1370
angles: 104.43 102.68 90.00
With the nearest neighbours (Å) after each atom.
Element x y z (fractional)
Sc 0.3297 0.9332 0.6594  3 Se 2.77-2.79, 1 Pb 2.94, 2 Bi 2.98
Sc 0.6619 0.5969 0.3238  3 Se 2.77-2.79, 3 Bi 2.97
Sc 0.6703 0.0668 0.3406  3 Se 2.77-2.79, 1 Pb 2.94, 2 Bi 2.98
Sc 0.9934 0.2600 0.9869  3 Se 2.78-2.80, 2 Pb 2.96, 1 Bi 2.98
Sc 0.0066 0.7400 0.0131  3 Se 2.78-2.80, 2 Pb 2.96, 1 Bi 2.98
Sc 0.3381 0.4031 0.6762  3 Se 2.77-2.79, 3 Bi 2.97
Bi 0.8341 0.6679 0.6681  6 Sc 2.97-2.98
Bi 0.1659 0.3321 0.3319  6 Sc 2.97-2.98
Pb 0.5000 0.0000 0.0000  6 Sc 2.94-2.96
Se 0.5000 0.5000 0.0000  6 Sc 2.79-2.80
Se 0.8321 0.1675 0.6641  6 Sc 2.77-2.79
Se 0.1679 0.8325 0.3359  6 Sc 2.77-2.79

=====

A geometry-optimized ScTa2BiPb structure. Source: Alexandria via LeMat-Bulk, functional PBE-GGA.

## Properties
Total energy, eV/atom: -5.75
Size of the total moment, μB/cell: 0.00
DOS at the Fermi energy, states/eV per cell: 1.907
SG: P4/mmm

abc: 5.2017 5.7064 5.2017
angles: 90.00 90.00 90.00
With the nearest neighbours (Å) after each atom.
Element x y z (fractional)
Pb 0.0000 0.0000 0.0000  4 Ta 2.60, 2 Bi 2.85
Sc 0.5000 0.5000 0.5000  4 Bi 3.68, 8 Ta 3.86
Bi 0.0000 0.5000 0.0000  2 Pb 2.85
Ta 0.0000 0.0000 0.5000  2 Pb 2.60
Ta 0.5000 0.0000 0.0000  2 Pb 2.60

=====

Q: What is the formula in the first record?
A: Sc6Bi2PbSe3

=====

Q: DOS at the Fermi energy of number 1 (Sc6Bi2PbSe3)?
A: 6.278 states/eV per cell

=====

Q: size of the total moment of number 2 (ScTa2BiPb)?
A: 0.00 μB/cell